{
  "formula": "ZnAu4",
  "functional": "GGA-PBEsol",
  "state": "relaxed",
  "lattice": [[-0.975, 3.548, 0.422], [-3.513, -0.872, -0.783], [1.036, -2.463, 6.855]],
  "species": ["Au", "Au", "Au", "Au", "Zn"],
  "frac_coords": [[0.750, 0.250, 0.500], [0.406, 0.406, 0.812], [0.594, 0.594, 0.188], [0.250, 0.750, 0.500], [0.000, 0.000, 0.000]],
  "dft_energy_ev_per_atom": -3.290,
  "e_form_ev_per_atom": 0.165,
  "dos_ef_per_ev_cell": 1.8,
  "magnetic_moment_mub_per_fu": 0.0
}